[1]
First-principles (PBE) data for a relaxed structure of ZrTi2Ir, as listed in Alexandria via LeMat-Bulk.

Cell and atoms, written as POSCAR:
```
ZrTi2Ir
1.0
4.622 0.000 0.000
0.000 5.549 0.000
0.000 0.000 5.528
Zr Ti Ir
2 4 2
Direct
0.250 0.250 0.093
0.750 0.750 0.907
0.250 0.501 0.615
0.250 0.999 0.615
0.750 0.001 0.385
0.750 0.499 0.385
0.250 0.750 0.203
0.750 0.250 0.797
```

Computed properties:
Total DFT energy (no corrections): -8.685 eV/atom
Excess energy over the best structure of this formula in the dataset: 68 meV/atom
Formation enthalpy at 0 K: -0.385 eV/atom
Space-group type: Pmmn (59)

=====

[2]
First-principles (PBE) data for a relaxed structure of Nd2GdAl, as listed in Alexandria via LeMat-Bulk.

Cell and atoms, written as POSCAR:
```
Nd2GdAl
1.0
4.881 0.000 0.000
0.000 4.881 0.000
0.000 0.000 4.848
Nd Gd Al
2 1 1
Direct
0.000 0.500 0.000
0.500 0.000 0.000
0.000 0.000 0.500
0.500 0.500 0.500
```

Computed properties:
Total DFT energy (no corrections): -7.021 eV/atom
Excess energy over the best structure of this formula in the dataset: 0 meV/atom
Formation enthalpy at 0 K: -0.181 eV/atom
Space-group type: P4/mmm (123)

=====

[3]
First-principles (PBE) data for a relaxed structure of BaTa2N4, as listed in Alexandria via LeMat-Bulk.

Cell and atoms, written as POSCAR:
```
BaTa2N4
1.0
-3.725 3.725 2.789
3.725 -3.725 2.789
3.725 3.725 -2.789
Ba Ta N
1 2 4
Direct
0.000 0.000 0.000
0.250 0.750 0.500
0.750 0.250 0.500
0.185 0.500 0.685
0.500 0.185 0.685
0.500 0.815 0.315
0.815 0.500 0.315
```

Computed properties:
Total DFT energy (no corrections): -8.884 eV/atom
Excess energy over the best structure of this formula in the dataset: 619 meV/atom
Space-group type: I4/mmm (139)

=====

[4]
First-principles (PBE) data for a relaxed structure of AsPbSeBr2, as listed in Alexandria via LeMat-Bulk.

Cell and atoms, written as POSCAR:
```
AsPbSeBr2
1.0
5.703 0.000 0.000
0.000 5.703 0.000
0.000 0.000 5.858
As Pb Se Br
1 1 1 2
Direct
0.000 0.000 0.000
0.500 0.500 0.500
0.500 0.500 0.000
0.000 0.500 0.500
0.500 0.000 0.500
```

Computed properties:
Total DFT energy (no corrections): -2.671 eV/atom
Excess energy over the best structure of this formula in the dataset: 451 meV/atom
Space-group type: P4/mmm (123)

=====

[5]
First-principles (PBE) data for a relaxed structure of CsTlPb2Br6, as listed in Alexandria via LeMat-Bulk.

Cell and atoms, written as POSCAR:
```
CsTlPb2Br6
1.0
8.311 0.000 0.000
4.153 7.202 0.000
4.153 2.400 6.889
Cs Tl Pb Br
1 1 2 6
Direct
0.000 0.000 0.000
0.474 0.474 0.578
0.262 0.263 0.214
0.768 0.769 0.696
0.038 0.448 0.931
0.115 0.918 0.441
0.448 0.583 0.931
0.528 0.115 0.440
0.582 0.039 0.931
0.917 0.529 0.440
```

Computed properties:
Total DFT energy (no corrections): -3.163 eV/atom
Space-group type: P1 (1)

=====

[6]
First-principles (PBE) data for a relaxed structure of CsNaCdCu2, as listed in Alexandria via LeMat-Bulk.

Cell and atoms, written as POSCAR:
```
CsNaCdCu2
1.0
6.150 0.000 0.000
0.000 6.150 0.000
0.000 0.000 6.594
Cs Na Cd Cu
1 1 1 2
Direct
0.000 0.000 0.000
0.000 0.000 0.500
0.500 0.500 0.500
0.000 0.500 0.000
0.500 0.000 0.000
```

Computed properties:
Total DFT energy (no corrections): -1.107 eV/atom
Formation enthalpy at 0 K: 1.149 eV/atom
Space-group type: P4/mmm (123)

=====

no.,magnetization (μB per formula unit)
1,0.0
2,7.7
3,0.0
4,1.5
5,0.0
6,0.0